No. 1
# K2LiCdF6 | OQMD via LeMat-Bulk | PBE | relaxed
# - DFT total energy: -235.01 eV per cell
data_K2LiCdF6
_chemical_formula_sum 'K12 Li6 Cd6 F36'
_symmetry_space_group_name_H-M 'R -3 m'
_symmetry_Int_Tables_number 166
_symmetry_space_group_name_Hall '-R 3 2"'
_cell_length_a 5.6337
_cell_length_b 5.6337
_cell_length_c 29.1948
_cell_angle_alpha 90.00
_cell_angle_beta 90.00
_cell_angle_gamma 120.00
loop_
_atom_site_label
_atom_site_fract_x
_atom_site_fract_y
_atom_site_fract_z
K1 0.0000 0.0000 0.1236
K2 0.0000 0.0000 0.2876
Li1 0.0000 0.0000 0.4100
Cd1 0.0000 0.0000 0.0000
Cd2 0.0000 0.0000 0.5000
F1 0.0081 0.5040 0.8781
F2 0.0134 0.5067 0.2904



No. 2
# LiCdF3 | OQMD via LeMat-Bulk | PBE | relaxed
# - DFT total energy: -123.38 eV per cell
data_LiCdF3
_chemical_formula_sum 'Li6 Cd6 F18'
_symmetry_space_group_name_H-M 'R 3 c'
_symmetry_Int_Tables_number 161
_symmetry_space_group_name_Hall 'R 3 -2"c'
_cell_length_a 5.2884
_cell_length_b 5.2884
_cell_length_c 13.1585
_cell_angle_alpha 90.00
_cell_angle_beta 90.00
_cell_angle_gamma 120.00
loop_
_atom_site_label
_atom_site_fract_x
_atom_site_fract_y
_atom_site_fract_z
Li1 0.0000 0.0000 0.0000
Cd1 0.0000 0.0000 0.2720
F1 0.0742 0.3400 0.0749



No. 3
# Mg2CdTe2F2 | OQMD via LeMat-Bulk | PBE | relaxed
# - DFT total energy: -25.20 eV per cell
data_Mg2CdTe2F2
_chemical_formula_sum 'Mg2 Cd1 Te2 F2'
_symmetry_space_group_name_H-M 'P -4 m 2'
_symmetry_Int_Tables_number 115
_symmetry_space_group_name_Hall 'P -4 -2'
_cell_length_a 3.843
_cell_length_b 3.843
_cell_length_c 9.433
_cell_angle_alpha 90.00
_cell_angle_beta 90.00
_cell_angle_gamma 90.00
loop_
_atom_site_label
_atom_site_fract_x
_atom_site_fract_y
_atom_site_fract_z
Mg1 0.000 0.500 0.117
Cd1 0.500 0.500 0.500
Te1 0.000 0.500 0.716
F1 0.000 0.000 0.000
F2 0.500 0.500 0.000



What is the formula in the first record? K2LiCdF6



DFT total energy of number 1 (K2LiCdF6)? -235.01 eV per cell